Record 1
Pm3Pr4Dy3: relaxed, PBE-GGA.

Summary:
The formation energy comes out at 1.0 eV per formula unit. The value obtained for the uncorrected energy is -4.617 eV per atom. Its symmetry is No. 38. Its magnetization is 0.000 μB/cell. The density of states at the Fermi level comes out at 11.3 states/eV/f.u.

Cell lengths 3.8695, 9.4795, 9.4795 Å; angles 90.23, 90.00, 90.00 degrees
Positions (direct):
Pm 0.0000 0.0000 0.0000
Pm 0.5000 0.1704 0.6651
Pm 0.5000 0.6651 0.1704
Pr 0.5000 0.0384 0.3004
Pr 0.5000 0.3004 0.0384
Pr 0.5000 0.5385 0.5385
Pr 0.5000 0.7976 0.7976
Dy 0.0000 0.3373 0.3373
Dy 0.0000 0.4994 0.8364
Dy 0.0000 0.8364 0.4994

Record 2
Sc2Hg: relaxed, PBE-GGA.

Summary:
The formation energy comes out at -0.6 eV per formula unit. The value obtained for the uncorrected energy is -4.527 eV per atom. Its symmetry is No. 63. Its magnetization is 0.000 μB/cell. The density of states at the Fermi level comes out at 2.8 states/eV/f.u.

Cell lengths 7.8459, 7.8459, 5.2018 Å; angles 90.00, 90.00, 153.93 degrees
Positions (direct):
Sc 0.0584 0.9416 0.7500
Sc 0.3830 0.6170 0.7500
Sc 0.6170 0.3830 0.2500
Sc 0.9416 0.0584 0.2500
Hg 0.2815 0.7185 0.2500
Hg 0.7185 0.2815 0.7500

Repeat the second record exactly.
Sc2Hg: relaxed, PBE-GGA.

Summary:
The formation energy comes out at -0.6 eV per formula unit. The value obtained for the uncorrected energy is -4.527 eV per atom. Its symmetry is No. 63. Its magnetization is 0.000 μB/cell. The density of states at the Fermi level comes out at 2.8 states/eV/f.u.

Cell lengths 7.8459, 7.8459, 5.2018 Å; angles 90.00, 90.00, 153.93 degrees
Positions (direct):
Sc 0.0584 0.9416 0.7500
Sc 0.3830 0.6170 0.7500
Sc 0.6170 0.3830 0.2500
Sc 0.9416 0.0584 0.2500
Hg 0.2815 0.7185 0.2500
Hg 0.7185 0.2815 0.7500